[1]
Density functional theory data (PBE) for a relaxed YEr5Mg6 crystal.

Cell and atoms, written as extended XYZ:
```
12
Lattice="5.072 -0.031 1.694 0.039 7.504 0.013 0.005 -0.016 8.458" Properties=species:S:1:pos:R:3 pbc="T T T"
Mg 0.875 5.606 5.920
Mg 2.546 1.865 0.850
Mg 0.855 1.867 5.914
Mg 4.242 1.851 4.244
Mg 2.571 5.593 9.314
Mg 4.261 5.591 4.251
Er 3.384 -0.031 6.757
Er 1.733 7.489 3.408
Er 0.020 3.752 0.007
Er 3.398 3.721 6.781
Er 1.719 3.737 3.384
Y 0.000 0.000 0.000
```

Computed properties:
N(E_F) ... 17.17 states/eV per cell
Calculated formation energy ... -0.07 eV/atom
Space-group type ... P2/m
DFT total energy ... -39.7 eV per cell
Calculated volume ... 26.8 A^3/atom


[2]
Density functional theory data (PBE) for a relaxed LiPu2NpTe5 crystal.

Cell and atoms, written as extended XYZ:
```
18
Lattice="-1.235 3.293 2.606 5.759 -5.099 5.498 10.231 7.104 -4.130" Properties=species:S:1:pos:R:3 pbc="T T T"
Pu 5.294 0.240 5.883
Pu 8.097 4.112 -1.359
Pu 11.510 4.796 3.070
Pu 4.434 1.328 0.423
Te 9.861 2.570 5.102
Te 2.215 3.573 0.210
Te 3.794 -2.528 4.993
Te 9.997 6.357 0.381
Te 3.321 1.412 3.466
Te 1.202 0.165 0.362
Te 9.847 2.785 1.148
Te 5.874 4.294 1.033
Te 13.031 2.066 3.566
Te 6.745 0.322 2.791
Np 2.197 -1.316 2.704
Np 7.676 3.224 3.240
Li 9.760 8.047 -1.868
Li 9.224 0.188 4.134
```

Computed properties:
N(E_F) ... 65.31 states/eV per cell
Energy relative to the elements, uncorrected ... -7.83 eV/f.u.
Space-group type ... Cmc2_1
DFT total energy ... -134.1 eV per cell
Calculated volume ... 29.3 A^3/atom


[3]
Density functional theory data (PBE) for a relaxed Tm2NiIr crystal.

Cell and atoms, written as extended XYZ:
```
4
Lattice="-0.283 3.247 0.490 -0.813 0.636 -4.686 -4.711 -0.523 0.746" Properties=species:S:1:pos:R:3 pbc="T T T"
Tm -0.407 0.318 -2.343
Tm -2.356 -0.262 0.373
Ni -0.142 1.623 0.245
Ir -2.904 1.680 -1.725
```

Computed properties:
N(E_F) ... 2.17 states/eV per cell
Calculated formation energy ... -0.71 eV/atom
Space-group type ... P4/mmm
DFT total energy ... -26.4 eV per cell
E above lowest polymorph ... 0.0226 eV per atom
Calculated volume ... 19.0 A^3/atom


[4]
Density functional theory data (PBE) for a relaxed NaAg6Bi2 crystal.

Cell and atoms, written as extended XYZ:
```
9
Lattice="4.341 0.000 0.000 0.000 4.341 0.000 0.000 0.000 11.097" Properties=species:S:1:pos:R:3 pbc="T T T"
Ag 2.170 2.170 5.548
Ag 2.170 0.000 3.610
Ag 0.000 2.170 7.487
Ag 0.000 2.170 3.610
Ag 0.000 0.000 5.548
Ag 2.170 0.000 7.487
Bi 2.170 2.170 1.623
Bi 2.170 2.170 9.474
Na 0.000 0.000 0.000
```

Computed properties:
N(E_F) ... 2.37 states/eV per cell
Calculated formation energy ... 0.02 eV/atom
Space-group type ... P4/mmm
DFT total energy ... -26.0 eV per cell
Calculated volume ... 23.2 A^3/atom


For the records above, the corresponding mass density values read 5.525 8.612 12.884 8.643 g/cm³.